[1]
SbMoP2Cl after structural relaxation, computed with GGA-PBE.

Results
For the magnetic moment, the calculation gives 3.248 Bohr magnetons per cell. For the energy relative to the lowest polymorph listed for this composition, the calculation gives 4.33 eV/f.u. As for the uncorrected formation energy: 1265 meV/atom. For the density of states at the Fermi level, the calculation gives 0.455 states/eV/atom.

a = 5.0933 Å, b = 5.0933 Å, c = 4.9841 Å
α = 90.00°, β = 90.00°, γ = 90.00°
Last column: nearest neighbours and their distance in Å.
Space group P4/mmm (No. 123)
Unique sites:
Sb 0.0000 0.0000 0.0000 x1  2 Cl 2.49, 4 P 2.55
Mo 0.5000 0.5000 0.5000 x1  8 P 3.56, 4 Cl 3.60
P 0.0000 0.5000 0.0000 x2  2 Sb 2.55
Cl 0.0000 0.0000 0.5000 x1  2 Sb 2.49



[2]
SbMoP2Cl after structural relaxation, computed with GGA-PBE.

Results
For the magnetic moment, the calculation gives 1.527 Bohr magnetons per cell. For the energy relative to the lowest polymorph listed for this composition, the calculation gives 0.00 eV/f.u. As for the uncorrected formation energy: 399 meV/atom. For the density of states at the Fermi level, the calculation gives 0.954 states/eV/atom.

a = 4.7737 Å, b = 4.7737 Å, c = 4.8006 Å
α = 90.00°, β = 90.00°, γ = 90.00°
Last column: nearest neighbours and their distance in Å.
Space group P4/mmm (No. 123)
Unique sites:
Sb 0.0000 0.0000 0.0000 x1  4 Cl 3.38, 8 P 3.39
Mo 0.5000 0.5000 0.5000 x1  4 P 2.39, 2 Cl 2.40
P 0.0000 0.5000 0.5000 x2  2 Mo 2.39
Cl 0.5000 0.5000 0.0000 x1  2 Mo 2.40



[3]
MoPSeCl2 after structural relaxation, computed with GGA-PBE.

Results
For the magnetic moment, the calculation gives 4.211 Bohr magnetons per cell. For the energy relative to the lowest polymorph listed for this composition, the calculation gives 3.76 eV/f.u. As for the uncorrected formation energy: 1050 meV/atom. For the density of states at the Fermi level, the calculation gives 0.660 states/eV/atom.

a = 4.8407 Å, b = 4.8407 Å, c = 5.1374 Å
α = 90.00°, β = 90.00°, γ = 90.00°
Last column: nearest neighbours and their distance in Å.
Space group P4/mmm (No. 123)
Unique sites:
Mo 0.0000 0.0000 0.0000 x1  4 P 3.42, 8 Cl 3.53
P 0.5000 0.5000 0.0000 x1  2 Se 2.57
Se 0.5000 0.5000 0.5000 x1  4 Cl 2.42, 2 P 2.57
Cl 0.0000 0.5000 0.5000 x2  2 Se 2.42



[4]
MoP2SeCl after structural relaxation, computed with GGA-PBE.

Results
For the magnetic moment, the calculation gives 0.000 Bohr magnetons per cell. For the energy relative to the lowest polymorph listed for this composition, the calculation gives 0.00 eV/f.u. As for the uncorrected formation energy: 432 meV/atom. For the density of states at the Fermi level, the calculation gives 1.041 states/eV/atom.

a = 4.7880 Å, b = 4.7880 Å, c = 4.5882 Å
α = 90.00°, β = 90.00°, γ = 90.00°
Last column: nearest neighbours and their distance in Å.
Space group P4/mmm (No. 123)
Unique sites:
Mo 0.0000 0.0000 0.0000 x1  2 Cl 2.29, 4 P 2.39
P 0.0000 0.5000 0.0000 x2  2 Mo 2.39
Se 0.5000 0.5000 0.5000 x1  8 P 3.32, 4 Cl 3.39
Cl 0.0000 0.0000 0.5000 x1  2 Mo 2.29



[5]
MoPSeCl2 after structural relaxation, computed with GGA-PBE.

Results
For the magnetic moment, the calculation gives 0.000 Bohr magnetons per cell. For the energy relative to the lowest polymorph listed for this composition, the calculation gives 0.00 eV/f.u. As for the uncorrected formation energy: 298 meV/atom. For the density of states at the Fermi level, the calculation gives 1.236 states/eV/atom.

a = 4.6009 Å, b = 4.6009 Å, c = 5.0752 Å
α = 90.00°, β = 90.00°, γ = 90.00°
Last column: nearest neighbours and their distance in Å.
Space group P4/mmm (No. 123)
Unique sites:
Mo 0.0000 0.0000 0.0000 x1  4 Cl 2.30, 2 P 2.54
P 0.0000 0.0000 0.5000 x1  2 Mo 2.54
Se 0.5000 0.5000 0.5000 x1  4 P 3.25, 8 Cl 3.43
Cl 0.0000 0.5000 0.0000 x2  2 Mo 2.30



[6]
MoP2SeCl after structural relaxation, computed with GGA-PBE.

Results
For the magnetic moment, the calculation gives 2.785 Bohr magnetons per cell. For the energy relative to the lowest polymorph listed for this composition, the calculation gives 4.36 eV/f.u. As for the uncorrected formation energy: 1303 meV/atom. For the density of states at the Fermi level, the calculation gives 0.748 states/eV/atom.

a = 4.8514 Å, b = 4.8514 Å, c = 4.6537 Å
α = 90.00°, β = 90.00°, γ = 90.00°
Last column: nearest neighbours and their distance in Å.
Space group P4/mmm (No. 123)
Unique sites:
Mo 0.0000 0.0000 0.0000 x1  8 P 3.36, 4 Cl 3.43
P 0.0000 0.5000 0.5000 x2  2 Se 2.43
Se 0.5000 0.5000 0.5000 x1  2 Cl 2.33, 4 P 2.43
Cl 0.5000 0.5000 0.0000 x1  2 Se 2.33



[7]
SiMoP2Cl after structural relaxation, computed with GGA-PBE.

Results
For the magnetic moment, the calculation gives 0.211 Bohr magnetons per cell. For the energy relative to the lowest polymorph listed for this composition, the calculation gives 0.00 eV/f.u. As for the uncorrected formation energy: 641 meV/atom. For the density of states at the Fermi level, the calculation gives 0.830 states/eV/atom.

a = 4.6604 Å, b = 4.6604 Å, c = 4.9641 Å
α = 90.00°, β = 90.00°, γ = 90.00°
Last column: nearest neighbours and their distance in Å.
Space group P4/mmm (No. 123)
Unique sites:
Si 0.0000 0.0000 0.0000 x1  4 Cl 3.30, 8 P 3.40
Mo 0.5000 0.5000 0.5000 x1  4 P 2.33, 2 Cl 2.48
P 0.0000 0.5000 0.5000 x2  2 Mo 2.33
Cl 0.5000 0.5000 0.0000 x1  2 Mo 2.48



[8]
SiMoP2Cl after structural relaxation, computed with GGA-PBE.

Results
For the magnetic moment, the calculation gives 3.045 Bohr magnetons per cell. For the energy relative to the lowest polymorph listed for this composition, the calculation gives 1.21 eV/f.u. As for the uncorrected formation energy: 882 meV/atom. For the density of states at the Fermi level, the calculation gives 0.598 states/eV/atom.

a = 4.5758 Å, b = 4.5758 Å, c = 4.4715 Å
α = 90.00°, β = 90.00°, γ = 90.00°
Last column: nearest neighbours and their distance in Å.
Space group P4/mmm (No. 123)
Unique sites:
Si 0.0000 0.0000 0.0000 x1  2 Cl 2.24, 4 P 2.29
Mo 0.5000 0.5000 0.5000 x1  8 P 3.20, 4 Cl 3.24
P 0.0000 0.5000 0.0000 x2  2 Si 2.29
Cl 0.0000 0.0000 0.5000 x1  2 Si 2.24